[1]
5
Lattice="5.267 0.000 0.000 0.000 5.267 0.000 0.000 0.000 5.267" Properties=species:S:1:pos:R:3 comment="NbCd3Hg | Alexandria via LeMat-Bulk | PBE | optimized geometry" delta_e_f_ev_per_fu=5.4 mass_density_g_cm3=7.2 e_tot_ev_per_atom=-1.5486 de_polymorph_ev_per_atom=0.210 pbc="T T T"
Nb 0.000 0.000 0.000
Cd 0.000 2.633 2.633
Cd 2.633 0.000 2.633
Cd 2.633 2.633 0.000
Hg 2.633 2.633 2.633

[2]
8
Lattice="-3.917 3.917 2.931 3.917 -3.917 2.931 3.917 3.917 -2.931" Properties=species:S:1:pos:R:3 comment="NbCd2Hg | Alexandria via LeMat-Bulk | PBE | optimized geometry" delta_e_f_ev_per_fu=2.2 mass_density_g_cm3=9.6 e_tot_ev_per_atom=-2.5023 pbc="T T T"
Nb 0.000 0.000 0.000
Nb 0.000 3.917 1.466
Cd 1.958 -1.923 2.199
Cd 1.994 1.958 0.733
Cd 1.958 5.840 -0.733
Cd 1.923 1.958 3.664
Hg 3.917 0.000 1.466
Hg 0.000 0.000 2.931

[3]
8
Lattice="-3.885 3.885 2.782 3.885 -3.885 2.782 3.885 3.885 -2.782" Properties=species:S:1:pos:R:3 comment="Nb2CdHg | Alexandria via LeMat-Bulk | PBE | optimized geometry" delta_e_f_ev_per_fu=2.6 mass_density_g_cm3=9.9 e_tot_ev_per_atom=-4.6769 de_polymorph_ev_per_atom=0.208 pbc="T T T"
Nb 5.827 1.915 -0.696
Nb 1.915 1.942 0.696
Nb -1.942 1.969 2.087
Nb 1.969 1.942 3.478
Cd 3.885 0.000 1.391
Cd 0.000 0.000 2.782
Hg 0.000 0.000 0.000
Hg 0.000 3.885 1.391

[4]
6
Lattice="0.000 4.251 5.448 2.731 0.000 5.448 2.731 4.251 0.000" Properties=species:S:1:pos:R:3 comment="NbCdHg | Alexandria via LeMat-Bulk | PBE | optimized geometry" delta_e_f_ev_per_fu=1.2 mass_density_g_cm3=10.7 e_tot_ev_per_atom=-3.3664 pbc="T T T"
Nb 2.731 1.412 5.448
Nb 2.731 7.090 5.448
Cd 2.731 4.251 4.117
Cd 2.731 4.251 6.778
Hg 1.366 2.126 2.724
Hg 4.097 6.377 8.171

[5]
4
Lattice="1.516 0.875 11.065 -1.516 0.875 11.065 0.000 -1.750 11.065" Properties=species:S:1:pos:R:3 comment="NbCd2Hg | Alexandria via LeMat-Bulk | PBE | optimized geometry" delta_e_f_ev_per_fu=1.8 mass_density_g_cm3=9.8 e_tot_ev_per_atom=-2.6002 pbc="T T T"
Nb 0.000 0.000 0.000
Cd 0.000 0.000 2.900
Cd 0.000 0.000 30.295
Hg 0.000 0.000 16.597

[6]
3
Lattice="-1.485 1.485 6.810 1.485 -1.485 6.810 1.485 1.485 -6.810" Properties=species:S:1:pos:R:3 comment="NbCdHg | Alexandria via LeMat-Bulk | PBE | optimized geometry" delta_e_f_ev_per_fu=0.6 mass_density_g_cm3=11.2 e_tot_ev_per_atom=-3.5781 pbc="T T T"
Nb 0.000 0.000 0.000
Cd 0.000 0.000 9.026
Hg 0.000 0.000 4.615

[7]
4
Lattice="0.000 3.386 3.386 3.386 0.000 3.386 3.386 3.386 0.000" Properties=species:S:1:pos:R:3 comment="Nb2CdHg | Alexandria via LeMat-Bulk | PBE | optimized geometry" delta_e_f_ev_per_fu=1.8 mass_density_g_cm3=10.7 e_tot_ev_per_atom=-4.8847 de_polymorph_ev_per_atom=0.000 pbc="T T T"
Nb 1.693 1.693 1.693
Nb 5.079 5.079 5.079
Cd 0.000 0.000 0.000
Hg 3.386 3.386 3.386

[8]
5
Lattice="4.845 0.000 0.000 0.000 4.845 0.000 0.000 0.000 4.914" Properties=species:S:1:pos:R:3 comment="NbCdHgOs2 | Alexandria via LeMat-Bulk | PBE | optimized geometry" delta_e_f_ev_per_fu=12.7 mass_density_g_cm3=11.3 e_tot_ev_per_atom=-4.2090 pbc="T T T"
Nb 0.000 0.000 0.000
Cd 0.000 0.000 2.457
Hg 2.422 2.422 0.000
Os 0.000 2.422 2.457
Os 2.422 0.000 2.457

[9]
5
Lattice="5.263 0.000 0.000 0.000 5.263 0.000 0.000 0.000 5.115" Properties=species:S:1:pos:R:3 comment="Sc2NbCdHg | Alexandria via LeMat-Bulk | PBE | optimized geometry" delta_e_f_ev_per_fu=4.7 mass_density_g_cm3=5.8 e_tot_ev_per_atom=-3.8423 pbc="T T T"
Sc 0.000 2.631 0.000
Sc 2.631 0.000 0.000
Nb 0.000 0.000 2.558
Cd 2.631 2.631 2.558
Hg 2.631 2.631 0.000

[10]
5
Lattice="4.805 0.000 0.000 0.000 4.805 0.000 0.000 0.000 5.216" Properties=species:S:1:pos:R:3 comment="Nb2CdHgSe | Alexandria via LeMat-Bulk | PBE | optimized geometry" mass_density_g_cm3=8.0 e_tot_ev_per_atom=-4.2065 e_form_raw_ev_per_atom=0.7617 pbc="T T T"
Nb 0.000 2.403 0.000
Nb 2.403 0.000 0.000
Cd 0.000 0.000 2.608
Hg 2.403 2.403 2.608
Se 2.403 2.403 0.000

[11]
5
Lattice="5.412 0.000 0.000 0.000 5.412 0.000 0.000 0.000 5.563" Properties=species:S:1:pos:R:3 comment="NbCdHg2Se | Alexandria via LeMat-Bulk | PBE | optimized geometry" mass_density_g_cm3=7.0 e_tot_ev_per_atom=-2.0370 e_form_raw_ev_per_atom=0.9776 pbc="T T T"
Nb 0.000 0.000 0.000
Cd 0.000 0.000 2.781
Hg 0.000 2.706 0.000
Hg 2.706 0.000 0.000
Se 2.706 2.706 2.781

[12]
5
Lattice="5.346 0.000 0.000 0.000 5.346 0.000 0.000 0.000 5.912" Properties=species:S:1:pos:R:3 comment="SrNbCd2Hg | Alexandria via LeMat-Bulk | PBE | optimized geometry" delta_e_f_ev_per_fu=4.5 mass_density_g_cm3=6.0 e_tot_ev_per_atom=-1.8794 pbc="T T T"
Sr 0.000 0.000 0.000
Nb 2.673 2.673 0.000
Cd 0.000 2.673 2.956
Cd 2.673 0.000 2.956
Hg 0.000 0.000 2.956